The following is a DFT calculation (PBE) of crystalline BeCrSe2N at its relaxed geometry.

a = 4.914 Å, b = 4.914 Å, c = 3.485 Å
α = 90.00°, β = 90.00°, γ = 90.00°
Fractional positions:
Be  0.000  0.000  0.000
Cr  0.500  0.500  0.500
Se  0.000  0.500  0.500
Se  0.500  0.000  0.500
N  0.500  0.500  0.000

Output
Energy above the lowest structure with this stoichiometry, meV/atom: 31
Theoretical density, g/cm3: 4.596
Space-group type: No. 123
E_tot, eV per cell: -26.46
Total moment, μB per atom: 0.21

---

The following is a DFT calculation (PBE) of crystalline Sr2BeCrN4 at its relaxed geometry.

a = 5.498 Å, b = 6.612 Å, c = 6.063 Å
α = 90.00°, β = 90.00°, γ = 90.00°
Fractional positions:
Sr  0.250  0.001  0.242
Sr  0.250  0.499  0.242
Sr  0.750  0.501  0.758
Sr  0.750  0.999  0.758
Be  0.250  0.750  0.666
Be  0.750  0.250  0.334
Cr  0.250  0.250  0.674
Cr  0.750  0.750  0.326
N  0.003  0.750  0.499
N  0.250  0.016  0.820
N  0.250  0.484  0.820
N  0.497  0.750  0.499
N  0.503  0.250  0.501
N  0.750  0.516  0.180
N  0.750  0.984  0.180
N  0.997  0.250  0.501

Output
Theoretical density, g/cm3: 4.404
Space-group type: No. 59
E_tot, eV per cell: -112.66
Total moment, μB per atom: 0.00

---

The following is a DFT calculation (PBE) of crystalline BeCrTe2N at its relaxed geometry.

a = 5.260 Å, b = 5.260 Å, c = 3.066 Å
α = 90.00°, β = 90.00°, γ = 90.00°
Fractional positions:
Be  0.000  0.000  0.000
Cr  0.500  0.500  0.500
Te  0.000  0.500  0.000
Te  0.500  0.000  0.000
N  0.000  0.000  0.500

Output
Energy above the lowest structure with this stoichiometry, meV/atom: 248
Theoretical density, g/cm3: 6.464
Space-group type: No. 123
E_tot, eV per cell: -24.26
Total moment, μB per atom: 0.04

---

Copy entry 1 word for word.
The following is a DFT calculation (PBE) of crystalline BeCrSe2N at its relaxed geometry.

a = 4.914 Å, b = 4.914 Å, c = 3.485 Å
α = 90.00°, β = 90.00°, γ = 90.00°
Fractional positions:
Be  0.000  0.000  0.000
Cr  0.500  0.500  0.500
Se  0.000  0.500  0.500
Se  0.500  0.000  0.500
N  0.500  0.500  0.000

Output
Energy above the lowest structure with this stoichiometry, meV/atom: 31
Theoretical density, g/cm3: 4.596
Space-group type: No. 123
E_tot, eV per cell: -26.46
Total moment, μB per atom: 0.21

---

Look up the theoretical density of the second one. 4.404 g/cm3